Below is an optimized crystal structure of Tl2Pb3Au4, with properties calculated at the PBE level.

## Properties
calculated formation energy	-0.020	eV per atom
energy	-3.238	eV per atom

Unit cell a=3.9441 b=6.9899 c=9.9506 alpha=116.30 beta=90.00 gamma=106.39
Last column: nearest neighbours and their distance in Å.
Atoms (fractional coordinates):
Au1 0.0774 0.1549 0.4371  1 Au 2.88, 3 Tl 2.89-3.04, 4 Pb 3.04-3.21
Au2 0.6882 0.3764 0.0384  2 Au 2.90, 1 Tl 2.91, 3 Pb 2.94-3.08
Au3 0.3118 0.6236 0.9616  2 Au 2.90, 1 Tl 2.91, 3 Pb 2.94-3.08
Au4 0.9226 0.8451 0.5629  1 Au 2.88, 3 Tl 2.89-3.04, 4 Pb 3.04-3.21
Tl1 0.6774 0.3548 0.3239  4 Au 2.89-3.04
Tl2 0.3226 0.6452 0.6761  4 Au 2.89-3.04
Pb1 0.3845 0.7691 0.2894  5 Au 2.94-3.21
Pb2 0.0000 0.0000 0.0000  4 Au 3.08
Pb3 0.6155 0.2309 0.7106  5 Au 2.94-3.21


Below is an optimized crystal structure of Tl3Pb3Au2, with properties calculated at the PBE level.

## Properties
calculated formation energy	-0.002	eV per atom
energy	-3.099	eV per atom

Unit cell a=4.6146 b=5.5255 c=9.4406 alpha=77.47 beta=74.92 gamma=89.45
Last column: nearest neighbours and their distance in Å.
Atoms (fractional coordinates):
Pb1 0.6625 0.0876 0.6741  4 Au 2.97-3.26
Pb2 0.3375 0.9124 0.3259  4 Au 2.97-3.26
Pb3 0.5000 0.5000 0.0000  8 Tl 3.26-3.62
Tl1 0.8672 0.4047 0.2615  3 Au 2.99-3.10, 2 Pb 3.26-3.29
Tl2 0.1328 0.5953 0.7385  3 Au 2.99-3.10, 2 Pb 3.26-3.29
Tl3 0.0000 0.0000 0.0000  8 Pb 3.58-3.74, 4 Tl 3.61
Au1 0.7449 0.6766 0.5109  4 Pb 2.97-3.26, 3 Tl 2.99-3.10, 2 Au 3.04-3.08
Au2 0.2551 0.3234 0.4891  4 Pb 2.97-3.26, 3 Tl 2.99-3.10, 2 Au 3.04-3.08


Below is an optimized crystal structure of TlPbAu2, with properties calculated at the PBE level.

## Properties
relative energy among the computed polymorphs	4.22	kcal/mol of atoms
calculated formation energy	0.119	eV per atom
energy	-3.039	eV per atom

Unit cell a=5.1189 b=5.1189 c=5.1189 alpha=60.00 beta=60.00 gamma=60.00
Last column: nearest neighbours and their distance in Å.
Atoms (fractional coordinates):
Au1 0.0000 0.0000 0.0000  4 Tl 3.13, 4 Au 3.13
Au2 0.2500 0.2500 0.2500  4 Pb 3.13, 4 Au 3.13
Tl1 0.7500 0.7500 0.7500  4 Pb 3.13, 4 Au 3.13
Pb1 0.5000 0.5000 0.5000  4 Tl 3.13, 4 Au 3.13


Below is an optimized crystal structure of Tl2Pb5Au3, with properties calculated at the PBE level.

## Properties
calculated formation energy	-0.062	eV per atom
energy	-3.373	eV per atom

Unit cell a=4.7693 b=7.7188 c=15.3008 alpha=90.00 beta=98.97 gamma=90.00
Last column: nearest neighbours and their distance in Å.
Atoms (fractional coordinates):
Tl1 0.8340 0.2031 0.6680  2 Au 3.34, 8 Pb 3.41-3.71
Tl2 0.1660 0.7031 0.3320  2 Au 3.34, 8 Pb 3.41-3.71
Tl3 0.4759 0.7705 0.9517  3 Au 3.10-3.22
Tl4 0.5241 0.2705 0.0483  3 Au 3.10-3.22
Pb1 0.0494 0.6075 0.0988  4 Au 2.95-3.05
Pb2 0.9506 0.1075 0.9012  4 Au 2.95-3.05
Pb3 0.2945 0.4849 0.5890  3 Au 2.99-3.02
Pb4 0.7060 0.4294 0.4121  4 Au 2.99-3.06
Pb5 0.2940 0.9294 0.5879  4 Au 2.99-3.06
Pb6 0.4037 0.4014 0.8075  3 Au 2.96-3.06
Pb7 0.8768 0.7525 0.7535  4 Au 3.07-3.13
Pb8 0.5963 0.9014 0.1925  3 Au 2.96-3.06
Pb9 0.7055 0.9849 0.4110  3 Au 2.99-3.02
Pb10 0.1232 0.2525 0.2465  4 Au 3.07-3.13
Au1 0.2244 0.2063 0.4488  7 Pb 2.99-3.08
Au2 0.6069 0.5075 0.2137  6 Pb 3.05-3.13, 3 Tl 3.10-3.34
Au3 0.7756 0.7063 0.5512  7 Pb 2.99-3.08
Au4 0.0443 0.0018 0.0886  5 Pb 2.95-3.07, 2 Tl 3.22
Au5 0.3931 0.0075 0.7863  6 Pb 3.05-3.13, 3 Tl 3.10-3.34
Au6 0.9557 0.5018 0.9114  5 Pb 2.95-3.07, 2 Tl 3.22


Below is an optimized crystal structure of TlPb2Au, with properties calculated at the PBE level.

## Properties
relative energy among the computed polymorphs	2.64	kcal/mol of atoms
calculated formation energy	0.048	eV per atom
energy	-3.217	eV per atom

Unit cell a=5.6183 b=5.6183 c=5.6183 alpha=127.42 beta=127.42 gamma=77.57
Last column: nearest neighbours and their distance in Å.
Atoms (fractional coordinates):
Au1 0.7500 0.2500 0.5000  8 Pb 3.31, 4 Tl 3.52
Pb1 0.5000 0.5000 0.0000  4 Tl 3.31, 4 Au 3.31, 4 Pb 3.52
Pb2 0.0000 0.0000 0.0000  4 Au 3.31, 4 Tl 3.31, 4 Pb 3.52
Tl1 0.2500 0.7500 0.5000  8 Pb 3.31, 4 Au 3.52


Below is an optimized crystal structure of Tl3PbAu, with properties calculated at the PBE level.

## Properties
relative energy among the computed polymorphs	5.09	kcal/mol of atoms
calculated formation energy	0.199	eV per atom
energy	-2.618	eV per atom

Unit cell a=5.5447 b=5.5447 c=5.5447 alpha=90.00 beta=90.00 gamma=90.00
Last column: nearest neighbours and their distance in Å.
Atoms (fractional coordinates):
Tl1 0.0000 0.0000 0.5000  2 Au 2.77
Tl2 0.5000 0.0000 0.0000  2 Au 2.77
Tl3 0.0000 0.5000 0.0000  2 Au 2.77
Au1 0.0000 0.0000 0.0000  6 Tl 2.77
Pb1 0.5000 0.5000 0.5000  12 Tl 3.92


Below is an optimized crystal structure of TlPb2Au9, with properties calculated at the PBE level.

## Properties
calculated formation energy	-0.023	eV per atom
energy	-3.296	eV per atom

Unit cell a=5.8107 b=5.8107 c=18.0884 alpha=90.00 beta=90.00 gamma=120.00
Last column: nearest neighbours and their distance in Å.
Atoms (fractional coordinates):
Pb1 0.3333 0.6667 0.9603  12 Au 3.27-3.43, 3 Pb 3.65
Pb2 0.6667 0.3333 0.0397  12 Au 3.27-3.43, 3 Pb 3.65
Pb3 0.3333 0.6667 0.5397  12 Au 3.27-3.43, 3 Pb 3.65
Pb4 0.6667 0.3333 0.4603  12 Au 3.27-3.43, 3 Pb 3.65
Au1 0.8306 0.1694 0.6223  7 Au 2.79-2.95
Au2 0.1694 0.8306 0.3777  7 Au 2.79-2.95
Au3 0.3333 0.6667 0.2500  6 Au 2.84
Au4 0.1694 0.3389 0.3777  7 Au 2.79-2.95
Au5 0.1694 0.8306 0.1223  7 Au 2.79-2.95
Au6 0.3389 0.1694 0.6223  7 Au 2.79-2.95
Au7 0.6611 0.8306 0.3777  7 Au 2.79-2.95
Au8 0.6667 0.3333 0.7500  6 Au 2.84
Au9 0.0000 0.0000 0.2500  6 Au 2.87
Au10 0.0000 0.0000 0.7500  6 Au 2.87
Au11 0.6611 0.8306 0.1223  7 Au 2.79-2.95
Au12 0.8306 0.6611 0.8777  7 Au 2.79-2.95
Au13 0.0000 0.0000 0.5000  6 Au 2.79
Au14 0.0000 0.0000 0.0000  6 Au 2.79
Au15 0.3389 0.1694 0.8777  7 Au 2.79-2.95
Au16 0.8306 0.1694 0.8777  7 Au 2.79-2.95
Au17 0.1694 0.3389 0.1223  7 Au 2.79-2.95
Au18 0.8306 0.6611 0.6223  7 Au 2.79-2.95
Tl1 0.3333 0.6667 0.7500  18 Au 3.35-3.71
Tl2 0.6667 0.3333 0.2500  18 Au 3.35-3.71


Below is an optimized crystal structure of TlPb3Au8, with properties calculated at the PBE level.

## Properties
relative energy among the computed polymorphs	0.00	kcal/mol of atoms
calculated formation energy	-0.039	eV per atom
energy	-3.348	eV per atom

Unit cell a=5.7388 b=5.7388 c=9.8971 alpha=73.15 beta=73.15 gamma=60.00
Last column: nearest neighbours and their distance in Å.
Atoms (fractional coordinates):
Au1 0.1876 0.1876 0.4372  6 Au 2.87
Au2 0.9374 0.9374 0.6890  6 Au 2.85-2.88
Au3 0.9374 0.4361 0.6890  6 Au 2.85-2.88
Au4 0.6876 0.6876 0.9373  6 Au 2.85
Au5 0.4377 0.4377 0.1856  6 Au 2.85-2.88
Au6 0.4377 0.9391 0.1856  6 Au 2.85-2.88
Au7 0.9391 0.4377 0.1856  6 Au 2.85-2.88
Au8 0.4361 0.9374 0.6890  6 Au 2.85-2.88
Pb1 0.3759 0.3759 0.8724  12 Au 3.34-3.37, 4 Pb 3.49-3.53
Pb2 0.9988 0.9988 0.0036  12 Au 3.33-3.37, 1 Tl 3.49, 3 Pb 3.53
Pb3 0.5006 0.5006 0.4982  12 Au 3.36-3.38, 1 Pb 3.49, 3 Tl 3.50
Tl1 0.8741 0.8741 0.3776  12 Au 3.35-3.38, 4 Pb 3.49-3.50


Below is an optimized crystal structure of Tl3PbAu, with properties calculated at the PBE level.

## Properties
relative energy among the computed polymorphs	0.00	kcal/mol of atoms
calculated formation energy	-0.022	eV per atom
energy	-2.839	eV per atom

Unit cell a=3.8753 b=12.1853 c=12.1853 alpha=90.00 beta=90.00 gamma=90.00
Last column: nearest neighbours and their distance in Å.
Atoms (fractional coordinates):
Tl1 0.0000 0.8864 0.8864  4 Au 3.11
Tl2 0.5000 0.9994 0.3327  1 Au 3.20, 4 Tl 3.47, 3 Pb 3.54-3.55
Tl3 0.5000 0.3864 0.6136  4 Au 3.11
Tl4 0.0000 0.1136 0.1136  4 Au 3.11
Tl5 0.0000 0.4994 0.1673  1 Au 3.20, 4 Tl 3.47, 3 Pb 3.54-3.55
Tl6 0.0000 0.5006 0.8327  1 Au 3.20, 4 Tl 3.47, 3 Pb 3.54-3.55
Tl7 0.0000 0.8327 0.5006  1 Au 3.20, 4 Tl 3.47, 3 Pb 3.54-3.55
Tl8 0.0000 0.1673 0.4994  1 Au 3.20, 4 Tl 3.47, 3 Pb 3.54-3.55
Tl9 0.5000 0.6136 0.3864  4 Au 3.11
Tl10 0.5000 0.3327 0.9994  1 Au 3.20, 4 Tl 3.47, 3 Pb 3.54-3.55
Tl11 0.5000 0.0006 0.6673  1 Au 3.20, 4 Tl 3.47, 3 Pb 3.54-3.55
Tl12 0.5000 0.6673 0.0006  1 Au 3.20, 4 Tl 3.47, 3 Pb 3.54-3.55
Pb1 0.0000 0.2135 0.7865  2 Au 2.95
Pb2 0.0000 0.7865 0.2135  2 Au 2.95
Pb3 0.5000 0.2865 0.2865  2 Au 2.95
Pb4 0.5000 0.7135 0.7135  2 Au 2.95
Au1 0.0000 0.4158 0.4158  1 Au 2.90, 2 Pb 2.95, 6 Tl 3.11-3.20
Au2 0.5000 0.9158 0.0842  1 Au 2.90, 2 Pb 2.95, 6 Tl 3.11-3.20
Au3 0.0000 0.5842 0.5842  1 Au 2.90, 2 Pb 2.95, 6 Tl 3.11-3.20
Au4 0.5000 0.0842 0.9158  1 Au 2.90, 2 Pb 2.95, 6 Tl 3.11-3.20


Below is an optimized crystal structure of Tl3Pb2Au5, with properties calculated at the PBE level.

## Properties
calculated formation energy	-0.005	eV per atom
energy	-3.095	eV per atom

Unit cell a=6.0197 b=7.6207 c=11.6847 alpha=109.07 beta=104.98 gamma=89.85
Last column: nearest neighbours and their distance in Å.
Atoms (fractional coordinates):
Au1 0.4056 0.1556 0.3113  4 Au 2.93-3.01, 2 Pb 3.13, 2 Tl 3.15
Au2 0.5944 0.8444 0.6887  4 Au 2.93-3.01, 2 Pb 3.13, 2 Tl 3.15
Au3 0.0958 0.8458 0.6916  4 Au 2.93-3.01, 2 Pb 3.12, 3 Tl 3.17-3.27
Au4 0.9042 0.1542 0.3084  4 Au 2.93-3.01, 2 Pb 3.12, 3 Tl 3.17-3.27
Au5 0.5810 0.8217 0.1654  4 Au 2.93-2.95, 3 Tl 3.05-3.13, 3 Pb 3.11-3.16
Au6 0.9156 0.6563 0.8346  4 Au 2.93-2.95, 3 Tl 3.05-3.13, 3 Pb 3.11-3.16
Au7 0.4190 0.1783 0.8346  4 Au 2.93-2.95, 3 Tl 3.05-3.13, 3 Pb 3.11-3.16
Au8 0.0844 0.3437 0.1654  4 Au 2.93-2.95, 3 Tl 3.05-3.13, 3 Pb 3.11-3.16
Au9 0.2496 0.4996 0.9993  6 Au 2.94-3.01, 4 Pb 3.11-3.12
Au10 0.7504 0.5004 0.0007  6 Au 2.94-3.01, 4 Pb 3.11-3.12
Tl1 0.2272 0.5688 0.4546  5 Au 3.13-3.39, 1 Pb 3.39, 2 Tl 3.45-3.46
Tl2 0.2496 0.9996 0.9992  2 Tl 3.01, 6 Au 3.05-3.32
Tl3 0.2726 0.1143 0.5454  5 Au 3.13-3.39, 1 Pb 3.39, 2 Tl 3.45-3.46
Tl4 0.7728 0.4312 0.5454  5 Au 3.13-3.39, 1 Pb 3.39, 2 Tl 3.45-3.46
Tl5 0.7504 0.0004 0.0008  2 Tl 3.01, 6 Au 3.05-3.32
Tl6 0.7274 0.8857 0.4546  5 Au 3.13-3.39, 1 Pb 3.39, 2 Tl 3.45-3.46
Pb1 0.8847 0.2264 0.7694  7 Au 3.11-3.16, 1 Tl 3.39
Pb2 0.3847 0.5430 0.7694  7 Au 3.11-3.16, 1 Tl 3.39
Pb3 0.6153 0.4570 0.2306  7 Au 3.11-3.16, 1 Tl 3.39
Pb4 0.1153 0.7736 0.2306  7 Au 3.11-3.16, 1 Tl 3.39


Copy entry 5 word for word.
Below is an optimized crystal structure of TlPb2Au, with properties calculated at the PBE level.

## Properties
relative energy among the computed polymorphs	2.64	kcal/mol of atoms
calculated formation energy	0.048	eV per atom
energy	-3.217	eV per atom

Unit cell a=5.6183 b=5.6183 c=5.6183 alpha=127.42 beta=127.42 gamma=77.57
Last column: nearest neighbours and their distance in Å.
Atoms (fractional coordinates):
Au1 0.7500 0.2500 0.5000  8 Pb 3.31, 4 Tl 3.52
Pb1 0.5000 0.5000 0.0000  4 Tl 3.31, 4 Au 3.31, 4 Pb 3.52
Pb2 0.0000 0.0000 0.0000  4 Au 3.31, 4 Tl 3.31, 4 Pb 3.52
Tl1 0.2500 0.7500 0.5000  8 Pb 3.31, 4 Au 3.52


What did the fourth record say?
Below is an optimized crystal structure of Tl2Pb5Au3, with properties calculated at the PBE level.

## Properties
calculated formation energy	-0.062	eV per atom
energy	-3.373	eV per atom

Unit cell a=4.7693 b=7.7188 c=15.3008 alpha=90.00 beta=98.97 gamma=90.00
Last column: nearest neighbours and their distance in Å.
Atoms (fractional coordinates):
Tl1 0.8340 0.2031 0.6680  2 Au 3.34, 8 Pb 3.41-3.71
Tl2 0.1660 0.7031 0.3320  2 Au 3.34, 8 Pb 3.41-3.71
Tl3 0.4759 0.7705 0.9517  3 Au 3.10-3.22
Tl4 0.5241 0.2705 0.0483  3 Au 3.10-3.22
Pb1 0.0494 0.6075 0.0988  4 Au 2.95-3.05
Pb2 0.9506 0.1075 0.9012  4 Au 2.95-3.05
Pb3 0.2945 0.4849 0.5890  3 Au 2.99-3.02
Pb4 0.7060 0.4294 0.4121  4 Au 2.99-3.06
Pb5 0.2940 0.9294 0.5879  4 Au 2.99-3.06
Pb6 0.4037 0.4014 0.8075  3 Au 2.96-3.06
Pb7 0.8768 0.7525 0.7535  4 Au 3.07-3.13
Pb8 0.5963 0.9014 0.1925  3 Au 2.96-3.06
Pb9 0.7055 0.9849 0.4110  3 Au 2.99-3.02
Pb10 0.1232 0.2525 0.2465  4 Au 3.07-3.13
Au1 0.2244 0.2063 0.4488  7 Pb 2.99-3.08
Au2 0.6069 0.5075 0.2137  6 Pb 3.05-3.13, 3 Tl 3.10-3.34
Au3 0.7756 0.7063 0.5512  7 Pb 2.99-3.08
Au4 0.0443 0.0018 0.0886  5 Pb 2.95-3.07, 2 Tl 3.22
Au5 0.3931 0.0075 0.7863  6 Pb 3.05-3.13, 3 Tl 3.10-3.34
Au6 0.9557 0.5018 0.9114  5 Pb 2.95-3.07, 2 Tl 3.22


- Which value of energy does entry 8 give?
  -3.348 eV per atom


Please write out number 7 again, unchanged.
Below is an optimized crystal structure of TlPb2Au9, with properties calculated at the PBE level.

## Properties
calculated formation energy	-0.023	eV per atom
energy	-3.296	eV per atom

Unit cell a=5.8107 b=5.8107 c=18.0884 alpha=90.00 beta=90.00 gamma=120.00
Last column: nearest neighbours and their distance in Å.
Atoms (fractional coordinates):
Pb1 0.3333 0.6667 0.9603  12 Au 3.27-3.43, 3 Pb 3.65
Pb2 0.6667 0.3333 0.0397  12 Au 3.27-3.43, 3 Pb 3.65
Pb3 0.3333 0.6667 0.5397  12 Au 3.27-3.43, 3 Pb 3.65
Pb4 0.6667 0.3333 0.4603  12 Au 3.27-3.43, 3 Pb 3.65
Au1 0.8306 0.1694 0.6223  7 Au 2.79-2.95
Au2 0.1694 0.8306 0.3777  7 Au 2.79-2.95
Au3 0.3333 0.6667 0.2500  6 Au 2.84
Au4 0.1694 0.3389 0.3777  7 Au 2.79-2.95
Au5 0.1694 0.8306 0.1223  7 Au 2.79-2.95
Au6 0.3389 0.1694 0.6223  7 Au 2.79-2.95
Au7 0.6611 0.8306 0.3777  7 Au 2.79-2.95
Au8 0.6667 0.3333 0.7500  6 Au 2.84
Au9 0.0000 0.0000 0.2500  6 Au 2.87
Au10 0.0000 0.0000 0.7500  6 Au 2.87
Au11 0.6611 0.8306 0.1223  7 Au 2.79-2.95
Au12 0.8306 0.6611 0.8777  7 Au 2.79-2.95
Au13 0.0000 0.0000 0.5000  6 Au 2.79
Au14 0.0000 0.0000 0.0000  6 Au 2.79
Au15 0.3389 0.1694 0.8777  7 Au 2.79-2.95
Au16 0.8306 0.1694 0.8777  7 Au 2.79-2.95
Au17 0.1694 0.3389 0.1223  7 Au 2.79-2.95
Au18 0.8306 0.6611 0.6223  7 Au 2.79-2.95
Tl1 0.3333 0.6667 0.7500  18 Au 3.35-3.71
Tl2 0.6667 0.3333 0.2500  18 Au 3.35-3.71